Entry 1:
{
  "formula": "SrMoPt2",
  "functional": "PBE",
  "state": "relaxed",
  "lattice": [[0.000, 3.420, 3.420], [3.420, 0.000, 3.420], [3.420, 3.420, 0.000]],
  "species": ["Sr", "Mo", "Pt", "Pt"],
  "fractional_positions": [[0.000, 0.000, 0.000], [0.500, 0.500, 0.500], [0.250, 0.250, 0.250], [0.750, 0.750, 0.750]],
  "formation_energy_mev_per_atom": 161,
  "sg": "Fm-3m (225)",
  "e_above_lowest_polymorph_mev_per_atom": 405,
  "total_magnetization_mub_per_cell": 2.774
}

***

Entry 2:
{
  "formula": "ZrTcTeN2",
  "functional": "PBE",
  "state": "relaxed",
  "lattice": [[3.973, 0.000, 0.000], [0.000, 3.973, 0.000], [0.000, 0.000, 5.431]],
  "species": ["Zr", "Tc", "Te", "N", "N"],
  "fractional_positions": [[0.000, 0.000, 0.000], [0.500, 0.500, 0.500], [0.500, 0.500, 0.000], [0.000, 0.500, 0.500], [0.500, 0.000, 0.500]],
  "sg": "P4/mmm (123)",
  "e_above_lowest_polymorph_mev_per_atom": 0,
  "total_magnetization_mub_per_cell": 0.000,
  "e_form_raw_ev_per_atom": 0.527
}

***

Entry 3:
{
  "formula": "AcCeCd6",
  "functional": "PBE",
  "state": "relaxed",
  "lattice": [[5.000, 0.000, 0.000], [0.000, 3.667, 5.844], [0.000, -3.667, 5.844]],
  "species": ["Ac", "Ce", "Cd", "Cd", "Cd", "Cd", "Cd", "Cd"],
  "fractional_positions": [[0.000, 0.000, 0.000], [0.500, 0.709, 0.709], [0.000, 0.047, 0.482], [0.000, 0.482, 0.047], [0.000, 0.530, 0.530], [0.500, 0.197, 0.197], [0.500, 0.235, 0.646], [0.500, 0.646, 0.235]],
  "formation_energy_mev_per_atom": -224,
  "sg": "Amm2 (38)",
  "total_magnetization_mub_per_cell": 0.966
}

***

Entry 4:
{
  "formula": "K2CrP",
  "functional": "PBE",
  "state": "relaxed",
  "lattice": [[4.581, 0.000, 0.000], [0.000, 5.003, 0.000], [-2.262, 0.000, 8.472]],
  "species": ["K", "K", "Cr", "P"],
  "fractional_positions": [[0.118, 0.000, 0.238], [0.882, 0.000, 0.762], [0.500, 0.500, 0.000], [0.000, 0.500, 0.000]],
  "formation_energy_mev_per_atom": 105,
  "sg": "P2/m (10)",
  "total_magnetization_mub_per_cell": 3.947
}

***

Which formula does entry 2 have?
ZrTcTeN2